Record 1
DFT (PBE-GGA) results for PmPr2Ho8 after structural relaxation.

**D(E_F)**: 17.64 states/eV/f.u.
**Raw total energy**: -49.14 eV per cell
**Polymorph energy (0 for the lowest one)**: 0.141 eV per atom
**Formation energy from the elements**: 3.75 kcal/mol of atoms

a = 5.576 Å, b = 10.109 Å, c = 10.109 Å
α = 40.66°, β = 92.58°, γ = 92.58°
Sites, in units of the cell vectors:
Pm 0.000 0.000 0.000
Pr 0.748 0.285 0.285
Pr 0.252 0.715 0.715
Ho 0.267 0.137 0.604
Ho 0.267 0.604 0.137
Ho 0.733 0.863 0.396
Ho 0.238 0.546 0.546
Ho 0.733 0.396 0.863
Ho 0.233 0.185 0.185
Ho 0.767 0.815 0.815
Ho 0.762 0.454 0.454

Record 2
DFT (PBE-GGA) results for Pm5PuSi4 after structural relaxation.

**D(E_F)**: 11.81 states/eV/f.u.
**Raw total energy**: -64.09 eV per cell
**Raw formation energy**: -432 meV per atom

a = 5.065 Å, b = 6.914 Å, c = 10.654 Å
α = 130.45°, β = 103.75°, γ = 90.00°
Last column: magnetic moment on the atom in μB.
Sites, in units of the cell vectors:
Pm 0.835 0.677 0.670  0.07
Pm 0.836 0.165 0.671  -0.02
Pm 0.164 0.835 0.329  -0.02
Pm 0.500 0.500 0.000  0.07
Pm 0.165 0.323 0.330  0.07
Pu 0.500 0.000 0.000  5.38
Si 0.324 0.898 0.647  -0.02
Si 0.992 0.739 0.984  -0.03
Si 0.676 0.102 0.353  -0.02
Si 0.008 0.261 0.016  -0.03

Record 3
DFT (PBE-GGA) results for Ce2NO2 after structural relaxation.

**D(E_F)**: 7.63 states/eV/f.u.
**Raw total energy**: -85.51 eV per cell
**Raw formation energy**: -2529 meV per atom

a = 5.885 Å, b = 5.885 Å, c = 6.334 Å
α = 116.95°, β = 116.95°, γ = 91.38°
Last column: magnetic moment on the atom in μB.
Sites, in units of the cell vectors:
Ce 0.389 0.611 0.250  0.52
Ce 0.861 0.139 0.250  0.52
Ce 0.139 0.861 0.750  0.52
Ce 0.611 0.389 0.750  0.52
N 0.125 0.875 0.250  -0.04
N 0.875 0.125 0.750  -0.04
O 0.767 0.517 0.534  -0.02
O 0.483 0.233 0.966  -0.02
O 0.517 0.767 0.034  -0.02
O 0.233 0.483 0.466  -0.02